Entry 1:
First-principles (GGA-PBE) data for a relaxed structure of NdHo3Tm3, as listed in Alexandria via LeMat-Bulk.

The volume comes out at 691 Å³/cell. The value obtained for the formation energy is 292.9 meV per atom. For the energy relative to the lowest polymorph listed for this composition, the calculation gives 0.076 eV per atom.

Cell lengths 10.6589, 10.6589, 7.0238 Å; angles 90.00, 90.00, 120.00 degrees
Space group R3m (No. 160, hexagonal axes)
One atom of each set of equivalent atoms:
Nd: 0.0000 0.0000 0.0000
Ho: 0.0600 0.5300 0.9580
Tm: 0.0336 0.5168 0.4354


Entry 2:
First-principles (GGA-PBE) data for a relaxed structure of Dy2TmSc3Bi6, as listed in Alexandria via LeMat-Bulk.

The volume comes out at 706 Å³/cell. The value obtained for the formation energy is -743.4 meV per atom.

Cell lengths 7.5632, 13.1051, 7.5542 Å; angles 90.00, 109.48, 90.00 degrees
Space group C2/m (No. 12)
One atom of each set of equivalent atoms:
Dy: 0.0000 0.1662 0.0000
Tm: 0.0000 0.5000 0.0000
Sc: 0.0000 0.0000 0.5000
Sc: 0.0000 0.3321 0.5000
Bi: 0.2430 0.5000 0.7357
Bi: 0.2468 0.1657 0.7369


Entry 3:
First-principles (GGA-PBE) data for a relaxed structure of Cs2TiHg2Br6, as listed in Alexandria via LeMat-Bulk.

The volume comes out at 977 Å³/cell. As for the formation energy (no corrections): -1.162 eV per atom.

Cell lengths 8.5869, 15.1063, 8.3155 Å; angles 90.00, 115.01, 90.00 degrees
Space group C2/m (No. 12)
One atom of each set of equivalent atoms:
Cs: 0.0000 0.1679 0.0000
Ti: 0.0000 0.5000 0.0000
Hg: 0.0000 0.3032 0.5000
Br: 0.1616 0.5000 0.8048
Br: 0.2003 0.3816 0.1973


Entry 4:
First-principles (GGA-PBE) data for a relaxed structure of ZrFeOs2, as listed in Alexandria via LeMat-Bulk.

The volume comes out at 61 Å³/cell. The value obtained for the formation energy is 13.6 meV per atom. For the energy relative to the lowest polymorph listed for this composition, the calculation gives 0.018 eV per atom.

Cell lengths 3.9792, 3.9792, 3.8821 Å; angles 90.00, 90.00, 90.00 degrees
Space group P4/mmm (No. 123)
One atom of each set of equivalent atoms:
Zr: 0.0000 0.0000 0.0000
Fe: 0.5000 0.5000 0.0000
Os: 0.0000 0.5000 0.5000